# 1
The following is a GGA-PBE calculation of CoPb after structural relaxation, from Alexandria.

Unit cell a=3.181 b=3.181 c=8.145 alpha=90.00 beta=90.00 gamma=90.00
Fractional coordinates of all 4 atoms:
Co1 0.250 0.250 0.060
Co2 0.750 0.750 0.940
Pb1 0.250 0.250 0.703
Pb2 0.750 0.750 0.297

Computed properties:
Formation energy from the elements   321 meV/atom
Total DFT energy (no corrections)   -20.34 eV per cell
Space-group type   P4/nmm



# 2
The following is a GGA-PBE calculation of KRbZnCl4 after structural relaxation, from Alexandria.

Unit cell a=7.210 b=7.240 c=9.082 alpha=90.00 beta=108.37 gamma=90.00
Fractional coordinates of all 14 atoms:
K1 0.214 0.250 0.049
K2 0.786 0.750 0.951
Rb1 0.280 0.250 0.571
Rb2 0.720 0.750 0.429
Zn1 0.226 0.750 0.805
Zn2 0.774 0.250 0.195
Cl1 0.014 0.504 0.750
Cl2 0.014 0.996 0.750
Cl3 0.404 0.750 0.062
Cl4 0.418 0.750 0.648
Cl5 0.582 0.250 0.352
Cl6 0.596 0.250 0.938
Cl7 0.986 0.004 0.250
Cl8 0.986 0.496 0.250

Computed properties:
Formation energy from raw total energies   -1662 meV/atom
Total DFT energy (no corrections)   -44.73 eV per cell
Space-group type   P2_1/m



# 3
The following is a GGA-PBE calculation of PaV4Ru after structural relaxation, from Alexandria.

Unit cell a=5.088 b=5.088 c=5.088 alpha=60.00 beta=60.00 gamma=60.00
Fractional coordinates of all 6 atoms:
Pa1 0.000 0.000 0.000
V1 0.123 0.626 0.626
V2 0.626 0.123 0.626
V3 0.626 0.626 0.123
V4 0.626 0.626 0.626
Ru1 0.250 0.250 0.250

Computed properties:
Formation energy from the elements   112 meV/atom
Total DFT energy (no corrections)   -54.57 eV per cell
Space-group type   F-43m



# 4
The following is a GGA-PBE calculation of NaCaP2 after structural relaxation, from Alexandria.

Unit cell a=4.899 b=4.899 c=4.899 alpha=60.00 beta=60.00 gamma=60.00
Fractional coordinates of all 4 atoms:
Na1 0.000 0.000 0.000
Ca1 0.500 0.500 0.500
P1 0.250 0.250 0.250
P2 0.750 0.750 0.750

Computed properties:
Formation energy from the elements   -298 meV/atom
Total DFT energy (no corrections)   -15.33 eV per cell
Distance to the lowest polymorph of the same formula   0.000 eV per atom
Space-group type   Fm-3m



# 5
The following is a GGA-PBE calculation of RbBa2NdI8 after structural relaxation, from Alexandria.

Unit cell a=7.663 b=8.007 c=10.582 alpha=90.01 beta=90.04 gamma=90.23
Fractional coordinates of all 12 atoms:
Rb1 0.000 0.000 0.000
Ba1 0.500 0.500 0.254
Ba2 0.500 0.500 0.746
Nd1 0.000 0.000 0.500
I1 0.235 0.851 0.287
I2 0.236 0.852 0.713
I3 0.239 0.329 0.500
I4 0.248 0.386 0.000
I5 0.752 0.614 0.000
I6 0.761 0.671 0.500
I7 0.764 0.148 0.287
I8 0.765 0.149 0.713

Computed properties:
Formation energy from raw total energies   -1579 meV/atom
Total DFT energy (no corrections)   -40.93 eV per cell
Space-group type   P-1



# 6
The following is a GGA-PBE calculation of Li2BeRu after structural relaxation, from Alexandria.

Unit cell a=3.037 b=3.037 c=5.786 alpha=90.00 beta=90.00 gamma=90.00
Fractional coordinates of all 4 atoms:
Li1 0.000 0.000 0.000
Li2 0.500 0.500 0.300
Be1 0.500 0.500 0.700
Ru1 0.000 0.000 0.566

Computed properties:
Formation energy from the elements   65 meV/atom
Total DFT energy (no corrections)   -16.57 eV per cell
Space-group type   P4mm



# 7
The following is a GGA-PBE calculation of LaMg2Tl2Cd2 after structural relaxation, from Alexandria.

Unit cell a=4.965 b=4.965 c=8.903 alpha=104.96 beta=104.96 gamma=58.73
Fractional coordinates of all 7 atoms:
La1 0.000 0.000 0.000
Mg1 0.138 0.138 0.421
Mg2 0.862 0.862 0.579
Tl1 0.270 0.270 0.800
Tl2 0.730 0.730 0.200
Cd1 0.434 0.434 0.312
Cd2 0.566 0.566 0.688

Computed properties:
Formation energy from the elements   -199 meV/atom
Total DFT energy (no corrections)   -16.07 eV per cell
Space-group type   C2/m



# 8
The following is a GGA-PBE calculation of TiAgCl5 after structural relaxation, from Alexandria.

Unit cell a=6.534 b=9.400 c=10.130 alpha=113.62 beta=103.10 gamma=101.57
Fractional coordinates of all 14 atoms:
Ti1 0.100 0.357 0.207
Ti2 0.900 0.643 0.793
Ag1 0.000 0.000 0.500
Ag2 0.500 0.000 0.500
Cl1 0.071 0.590 0.359
Cl2 0.230 0.824 0.929
Cl3 0.268 0.395 0.055
Cl4 0.292 0.266 0.343
Cl5 0.349 0.101 0.697
Cl6 0.651 0.899 0.303
Cl7 0.708 0.734 0.657
Cl8 0.732 0.605 0.945
Cl9 0.770 0.176 0.071
Cl10 0.929 0.410 0.641

Computed properties:
Formation energy from raw total energies   -1238 meV/atom
Total DFT energy (no corrections)   -57.29 eV per cell
Space-group type   P-1



# 9
The following is a GGA-PBE calculation of Tc3WSe after structural relaxation, from Alexandria.

Unit cell a=4.459 b=4.459 c=4.459 alpha=90.00 beta=90.00 gamma=90.00
Fractional coordinates of all 5 atoms:
Tc1 0.000 0.000 0.500
Tc2 0.000 0.500 0.000
Tc3 0.500 0.000 0.000
W1 0.500 0.500 0.500
Se1 0.000 0.000 0.000

Computed properties:
Formation energy from raw total energies   1363 meV/atom
Total DFT energy (no corrections)   -40.72 eV per cell
Distance to the lowest polymorph of the same formula   0.000 eV per atom
Space-group type   Pm-3m



# 10
The following is a GGA-PBE calculation of Pm6USe8 after structural relaxation, from Alexandria.

Unit cell a=8.359 b=8.359 c=8.359 alpha=60.00 beta=60.00 gamma=60.00
Fractional coordinates of all 15 atoms:
Pm1 0.000 0.000 0.500
Pm2 0.000 0.500 0.000
Pm3 0.000 0.500 0.500
Pm4 0.500 0.000 0.000
Pm5 0.500 0.000 0.500
Pm6 0.500 0.500 0.000
U1 0.000 0.000 0.000
Se1 0.250 0.250 0.250
Se2 0.250 0.250 0.750
Se3 0.250 0.750 0.250
Se4 0.250 0.750 0.750
Se5 0.750 0.250 0.250
Se6 0.750 0.250 0.750
Se7 0.750 0.750 0.250
Se8 0.750 0.750 0.750

Computed properties:
Formation energy from raw total energies   -1732 meV/atom
Total DFT energy (no corrections)   -93.65 eV per cell
Space-group type   Fm-3m



# 11
The following is a GGA-PBE calculation of AlSi2Ni after structural relaxation, from Alexandria.

Unit cell a=8.725 b=8.725 c=8.725 alpha=17.85 beta=17.85 gamma=17.85
Fractional coordinates of all 4 atoms:
Al1 0.000 0.000 0.000
Si1 0.239 0.239 0.239
Si2 0.761 0.761 0.761
Ni1 0.500 0.500 0.500

Computed properties:
Formation energy from raw total energies   -24 meV/atom
Total DFT energy (no corrections)   -20.47 eV per cell
Space-group type   R-3m



# 12
The following is a GGA-PBE calculation of DyHo2Er after structural relaxation, from Alexandria.

Unit cell a=11.637 b=11.637 c=11.637 alpha=17.38 beta=17.38 gamma=17.38
Fractional coordinates of all 4 atoms:
Dy1 0.000 0.000 0.000
Ho1 0.250 0.250 0.250
Ho2 0.750 0.750 0.750
Er1 0.500 0.500 0.500

Computed properties:
Formation energy from the elements   21 meV/atom
Total DFT energy (no corrections)   -18.24 eV per cell
Distance to the lowest polymorph of the same formula   0.019 eV per atom
Space-group type   R-3m